[1]
First-principles (GGA-PBE) data for a geometry-optimized MgTl2Ge structure, as listed in Alexandria.

## Properties
The formation energy comes out at 0.21 eV/atom. As for the space group: R-3m, No. 166. The calculation puts the density of states at the Fermi level at 0.556 states/eV/atom.

Cell lengths 3.2880, 3.2880, 11.6731 Å; angles 81.90, 81.90, 60.00 degrees
Fractional positions:
Mg (0.0000, 0.0000, 0.0000)
Tl (0.0901, 0.0901, 0.7297)
Tl (0.9099, 0.9099, 0.2703)
Ge (0.5000, 0.5000, 0.5000)

---

[2]
First-principles (GGA-PBE) data for a geometry-optimized Ca2ThGe3Ir4 structure, as listed in Alexandria.

## Properties
The formation energy comes out at -0.63 eV/atom. As for the space group: P-4m2, No. 115. The calculation puts the density of states at the Fermi level at 0.631 states/eV/atom.

Cell lengths 4.2991, 4.2991, 11.0935 Å; angles 90.00, 90.00, 90.00 degrees
Fractional positions:
Ca (0.5000, 0.0000, 0.2199)
Ca (0.0000, 0.5000, 0.7801)
Th (0.5000, 0.5000, 0.5000)
Ge (0.0000, 0.0000, 0.5000)
Ge (0.5000, 0.0000, 0.8807)
Ge (0.0000, 0.5000, 0.1193)
Ir (0.5000, 0.5000, 0.0000)
Ir (0.0000, 0.0000, 0.0000)
Ir (0.5000, 0.0000, 0.6566)
Ir (0.0000, 0.5000, 0.3434)

---

[3]
First-principles (GGA-PBE) data for a geometry-optimized RbTiN2 structure, as listed in Alexandria.

## Properties
As for the space group: R-3m, No. 166. Its energy relative to the elements, uncorrected is 0.866 eV/atom. The calculation puts the offset from the most stable computed form at 1452.7 meV/atom. The calculation puts the density of states at the Fermi level at 0.455 states/eV/atom.

Cell lengths 7.6785, 7.6785, 7.6785 Å; angles 29.21, 29.21, 29.21 degrees
Fractional positions:
N (0.9192, 0.9192, 0.9192)
N (0.0808, 0.0808, 0.0808)
Rb (0.5000, 0.5000, 0.5000)
Ti (0.0000, 0.0000, 0.0000)